[1]
Material: TlTe2Cl4
Method: DFT, PBE
State: optimized geometry

Computed properties:
N(E_F) = 2.78 states/eV/cell
formation energy from raw total energies = -538 meV per atom
E = -39.599 eV for the cell shown

Geometry as extended XYZ:
```
14
Lattice="-3.118 -0.479 -8.464 -0.898 -7.795 3.819 -8.475 -2.074 0.178" Properties=species:S:1:pos:R:3 pbc="T T T"
Tl -8.602 -7.632 -1.240
Tl -8.456 -2.089 0.187
Te -9.623 -3.942 -3.925
Te -4.766 -4.974 -1.454
Te -4.055 -7.654 -0.033
Te -6.539 -4.127 -3.522
Cl -6.425 -1.806 -2.444
Cl -2.371 -6.074 1.070
Cl -4.516 -1.239 -5.528
Cl -3.046 -5.367 -3.310
Cl -1.618 -2.418 -1.646
Cl -7.089 -6.564 -4.080
Cl -8.801 -2.878 -6.104
Cl -6.730 -5.174 0.177
```

[2]
Material: TlTeCl3
Method: DFT, PBE
State: optimized geometry

Computed properties:
N(E_F) = 3.74 states/eV/cell
formation energy from raw total energies = -133 meV per atom
energy relative to the lowest polymorph listed for this composition = 511 meV per atom
E = -11.713 eV for the cell shown

Geometry as extended XYZ:
```
5
Lattice="-1.217 4.961 -1.950 -5.329 -1.181 0.321 -0.129 1.972 5.098" Properties=species:S:1:pos:R:3 pbc="T T T"
Tl 0.000 0.000 0.000
Te -3.338 2.876 1.735
Cl -2.665 -0.591 0.161
Cl -0.065 0.986 2.549
Cl -0.609 2.481 -0.975
```

[3]
Material: Tl12Te5Cl3
Method: DFT, PBE
State: optimized geometry

Computed properties:
N(E_F) = 22.31 states/eV/cell
formation energy from raw total energies = -376 meV per atom
E = -228.643 eV for the cell shown

Geometry as extended XYZ:
```
80
Lattice="16.449 0.000 0.000 -5.483 15.508 0.000 -5.483 -7.754 13.430" Properties=species:S:1:pos:R:3 pbc="T T T"
Cl 9.595 4.846 1.679
Cl 9.595 10.662 1.679
Cl -1.371 6.785 8.394
Cl 1.371 -0.969 5.036
Cl 12.337 0.000 3.358
Cl 1.371 7.754 3.358
Cl 4.112 0.000 10.073
Cl -6.854 7.754 10.073
Cl 4.112 8.723 8.394
Cl 6.854 0.969 5.036
Cl -4.112 -2.908 11.752
Cl -4.112 2.908 11.752
Te -1.371 3.877 3.358
Te -2.741 7.754 0.000
Te 0.000 0.000 0.000
Te 4.112 2.908 1.679
Te 5.483 -3.877 6.715
Te 5.483 7.754 0.000
Te -4.112 8.723 5.036
Te 6.854 -4.846 11.752
Te 6.854 6.785 5.036
Te 1.371 -3.877 10.073
Te 4.112 11.631 3.358
Te 2.741 3.877 6.715
Te 8.224 0.000 0.000
Te -2.741 -3.877 6.715
Te -1.371 0.969 8.394
Te -1.371 12.600 1.679
Te -5.483 3.877 6.715
Te 9.595 -0.969 8.394
Te 1.371 4.846 11.752
Te 6.854 3.877 10.073
Tl 10.811 1.849 0.833
Tl 0.155 5.523 5.530
Tl 12.020 3.315 3.653
Tl 7.171 2.371 2.018
Tl 1.860 6.126 8.945
Tl 11.293 7.835 2.229
Tl -1.054 8.698 5.671
Tl -4.429 13.137 2.018
Tl 0.881 9.382 8.945
Tl 7.897 7.673 2.229
Tl 8.379 4.080 4.697
Tl 8.379 13.659 0.833
Tl -4.602 6.932 7.548
Tl 3.069 5.783 1.045
Tl -5.638 11.428 4.697
Tl 2.896 -2.231 7.900
Tl -0.881 0.806 3.062
Tl 3.069 9.644 1.185
Tl 7.171 12.193 3.653
Tl -0.327 5.864 1.185
Tl -3.622 8.560 10.368
Tl 3.795 6.810 5.671
Tl 7.343 8.576 7.548
Tl 5.810 -1.971 12.386
Tl 1.688 0.944 7.760
Tl -1.860 -0.822 5.882
Tl -0.327 9.725 1.045
Tl -1.688 -4.439 9.778
Tl 9.105 -0.806 3.062
Tl 5.810 1.890 12.246
Tl 2.414 -1.890 12.246
Tl 2.587 9.985 5.530
Tl 6.364 6.948 10.368
Tl 11.121 -3.674 8.733
Tl 10.085 0.822 5.882
Tl -2.896 -5.905 12.597
Tl 2.414 1.971 12.386
Tl 4.602 -1.628 4.486
Tl -2.414 0.081 11.201
Tl -2.896 3.674 8.733
Tl 9.912 -5.383 11.413
Tl 6.537 -0.944 7.760
Tl -1.688 5.383 11.413
Tl -5.810 -0.081 11.201
Tl 3.622 1.628 4.486
Tl -6.537 4.439 9.778
Tl 5.328 2.231 7.900
Tl -5.328 5.905 12.597
```

[4]
Material: Tl2Te2Cl
Method: DFT, PBE
State: optimized geometry

Computed properties:
N(E_F) = 1.73 states/eV/cell
formation energy from raw total energies = -382 meV per atom
energy relative to the lowest polymorph listed for this composition = 83 meV per atom
E = -14.773 eV for the cell shown

Geometry as extended XYZ:
```
5
Lattice="-1.695 4.420 -4.135 -5.980 -0.560 1.853 -3.155 5.167 2.039" Properties=species:S:1:pos:R:3 pbc="T T T"
Tl -4.344 5.759 -1.618
Tl -6.487 3.269 1.375
Te -3.634 2.895 -0.193
Te -7.196 6.132 -0.050
Cl 0.000 0.000 0.000
```

[5]
Material: Tl2TeCl
Method: DFT, PBE
State: optimized geometry

Computed properties:
N(E_F) = 2.20 states/eV/cell
formation energy from raw total energies = -479 meV per atom
energy relative to the lowest polymorph listed for this composition = 75 meV per atom
E = -11.638 eV for the cell shown

Geometry as extended XYZ:
```
4
Lattice="4.671 -0.019 -0.006 3.367 3.237 -0.006 1.084 0.434 8.652" Properties=species:S:1:pos:R:3 pbc="T T T"
Cl 6.841 2.739 6.480
Te 2.280 0.913 2.160
Tl 1.153 0.461 8.472
Tl 4.492 1.798 4.500
```

[6]
Material: UTlTe2Cl
Method: DFT, PBE
State: optimized geometry

Computed properties:
N(E_F) = 13.35 states/eV/cell
formation energy from raw total energies = -823 meV per atom
E = -51.798 eV for the cell shown

Geometry as extended XYZ:
```
10
Lattice="-3.593 -2.503 0.192 4.743 -7.097 -3.754 1.170 -0.951 9.520" Properties=species:S:1:pos:R:3 pbc="T T T"
U 3.978 -7.260 4.823
U -1.657 -3.291 1.135
Tl 3.128 -6.393 0.214
Tl -0.808 -4.158 5.744
Te 2.083 -8.532 2.815
Te 1.312 -7.830 -2.459
Te 0.238 -2.020 3.143
Te 1.008 -2.722 8.417
Cl 2.547 -5.179 5.181
Cl -0.227 -5.372 0.777
```